Record 1
This record from the Alexandria database describes crystalline GdZnAu2 at its relaxed geometry. The functional is PBE.

Properties
Its energy relative to the elements is -540 meV per atom. As for the symmetry: P4/mmm (123). The calculation puts the total energy at -6.0174 eV/atom.

a b c (Å): 3.4541 3.4541 6.7958
angles (deg): 90.00 90.00 90.00
Fractional coordinates of all 4 atoms:
Gd 0.0000 0.0000 0.0000
Zn 0.0000 0.0000 0.5000
Au 0.5000 0.5000 0.2808
Au 0.5000 0.5000 0.7192

---

Record 2
This record from the Alexandria database describes crystalline SmErSc2Sb4 at its relaxed geometry. The functional is PBE.

Properties
As for the symmetry: P2/m (10). The calculation puts the total energy at -5.8301 eV/atom. For the energy relative to the elements, uncorrected, the calculation gives -1.026 eV per atom.

a b c (Å): 7.4197 4.2957 7.4362
angles (deg): 90.00 109.53 90.00
Fractional coordinates of all 8 atoms:
Sm 0.0000 0.0000 0.0000
Er 0.0000 0.5000 0.5000
Sc 0.5000 0.0000 0.5000
Sc 0.5000 0.5000 0.0000
Sb 0.2653 0.0000 0.7514
Sb 0.2681 0.5000 0.2597
Sb 0.7319 0.5000 0.7403
Sb 0.7347 0.0000 0.2486

---

Record 3
This record from the Alexandria database describes crystalline La4Pr2Th at its relaxed geometry. The functional is PBE.

Properties
Its energy relative to the elements is 70 meV per atom. As for the symmetry: R-3m (166). The calculation puts the total energy at -5.1714 eV/atom.

a b c (Å): 22.1622 22.1622 22.1622
angles (deg): 9.45 9.45 9.45
Fractional coordinates of all 7 atoms:
La 0.1419 0.1419 0.1419
La 0.2900 0.2900 0.2900
La 0.7100 0.7100 0.7100
La 0.8581 0.8581 0.8581
Pr 0.2368 0.2368 0.2368
Pr 0.7632 0.7632 0.7632
Th 0.0000 0.0000 0.0000

---

Record 4
This record from the Alexandria database describes crystalline TcSbRh4 at its relaxed geometry. The functional is PBE.

Properties
As for the symmetry: F-43m (216). The calculation puts the total energy at -6.9558 eV/atom. For the energy relative to the elements, uncorrected, the calculation gives 0.360 eV per atom.

a b c (Å): 5.1632 5.1632 5.1632
angles (deg): 60.00 60.00 60.00
Fractional coordinates of all 6 atoms:
Tc 0.0000 0.0000 0.0000
Sb 0.2500 0.2500 0.2500
Rh 0.1233 0.6256 0.6256
Rh 0.6256 0.1233 0.6256
Rh 0.6256 0.6256 0.1233
Rh 0.6256 0.6256 0.6256

---

Record 5
This record from the Alexandria database describes crystalline NaPaSn2 at its relaxed geometry. The functional is PBE.

Properties
Its energy relative to the elements is -224 meV per atom. As for the symmetry: P4/mmm (123). The calculation puts the total energy at -4.9289 eV/atom.

a b c (Å): 5.7336 5.7336 3.1407
angles (deg): 90.00 90.00 90.00
Fractional coordinates of all 4 atoms:
Na 0.0000 0.0000 0.0000
Pa 0.5000 0.5000 0.0000
Sn 0.0000 0.5000 0.5000
Sn 0.5000 0.0000 0.5000

---

Record 6
This record from the Alexandria database describes crystalline PuAs2Rh3 at its relaxed geometry. The functional is PBE.

Properties
Its energy relative to the elements is -696 meV per atom. As for the symmetry: C2/m (12). The calculation puts the total energy at -8.3101 eV/atom.

a b c (Å): 8.4737 8.4737 9.8713
angles (deg): 106.93 106.93 27.24
Fractional coordinates of all 18 atoms:
Pu 0.0000 0.0000 0.0000
Pu 0.1597 0.1597 0.7017
Pu 0.8403 0.8403 0.2983
As 0.1944 0.1944 0.1299
As 0.3621 0.3621 0.5420
As 0.4580 0.4580 0.2194
As 0.5420 0.5420 0.7806
As 0.6379 0.6379 0.4580
As 0.8056 0.8056 0.8701
Rh 0.0409 0.0409 0.3280
Rh 0.2180 0.2180 0.3940
Rh 0.3188 0.3188 0.0382
Rh 0.3784 0.3784 0.7960
Rh 0.5000 0.5000 0.5000
Rh 0.6216 0.6216 0.2040
Rh 0.6812 0.6812 0.9618
Rh 0.7820 0.7820 0.6060
Rh 0.9591 0.9591 0.6720

---

Record 7
This record from the Alexandria database describes crystalline Na2Sn at its relaxed geometry. The functional is PBE.

Properties
Its energy relative to the elements is 60 meV per atom. As for the symmetry: Fd-3m (227). The calculation puts the total energy at -2.1536 eV/atom.

a b c (Å): 6.2213 6.2213 6.2213
angles (deg): 60.00 60.00 60.00
Fractional coordinates of all 6 atoms:
Na 0.0000 0.0000 0.0000
Na 0.0000 0.0000 0.5000
Na 0.0000 0.5000 0.0000
Na 0.5000 0.0000 0.0000
Sn 0.3750 0.3750 0.3750
Sn 0.6250 0.6250 0.6250

---

Record 8
This record from the Alexandria database describes crystalline Ac2Al2Ge5 at its relaxed geometry. The functional is PBE.

Properties
Its energy relative to the elements is -322 meV per atom. As for the symmetry: C2/m (12). The calculation puts the total energy at -4.6315 eV/atom.

a b c (Å): 8.2730 8.2730 7.3012
angles (deg): 114.33 114.33 29.92
Fractional coordinates of all 9 atoms:
Ac 0.1723 0.1723 0.1815
Ac 0.8277 0.8277 0.8185
Al 0.4356 0.4356 0.6003
Al 0.5644 0.5644 0.3997
Ge 0.1562 0.1562 0.6115
Ge 0.3864 0.3864 0.2034
Ge 0.5000 0.5000 0.0000
Ge 0.6136 0.6136 0.7966
Ge 0.8438 0.8438 0.3885

---

Record 9
This record from the Alexandria database describes crystalline Co2TcW at its relaxed geometry. The functional is PBE.

Properties
Its energy relative to the elements is 79 meV per atom. As for the symmetry: Cm (8). The calculation puts the total energy at -9.3036 eV/atom.

a b c (Å): 4.4967 4.4967 4.6093
angles (deg): 98.67 98.67 34.17
Fractional coordinates of all 4 atoms:
Co 0.0000 0.0000 0.0000
Co 0.7467 0.7467 0.2618
Tc 0.2560 0.2560 0.7980
W 0.4947 0.4947 0.4847

---

Record 10
This record from the Alexandria database describes crystalline LiYMo2 at its relaxed geometry. The functional is PBE.

Properties
Its energy relative to the elements is 391 meV per atom. As for the symmetry: Cmm2 (35). The calculation puts the total energy at -7.1194 eV/atom.

a b c (Å): 2.9649 2.9649 9.7081
angles (deg): 90.00 90.00 113.14
Fractional coordinates of all 4 atoms:
Li 0.0000 0.0000 0.0000
Y 0.5000 0.5000 0.6986
Mo 0.0000 0.0000 0.4368
Mo 0.5000 0.5000 0.2395

---

Record 11
This record from the Alexandria database describes crystalline LiZrAl2 at its relaxed geometry. The functional is PBE.

Properties
Its energy relative to the elements is -135 meV per atom. As for the symmetry: Imm2 (44). The calculation puts the total energy at -4.6214 eV/atom.

a b c (Å): 5.6803 5.6803 5.6803
angles (deg): 146.99 131.72 59.73
Fractional coordinates of all 4 atoms:
Li 0.0000 0.0000 0.0000
Zr 0.2693 0.7693 0.5000
Al 0.5234 0.5234 0.0000
Al 0.7505 0.2505 0.5000

---

Record 12
This record from the Alexandria database describes crystalline Fe2TcTe at its relaxed geometry. The functional is PBE.

Properties
As for the symmetry: R-3m (166). The calculation puts the total energy at -7.0405 eV/atom. For the energy relative to the elements, uncorrected, the calculation gives 0.568 eV per atom.

a b c (Å): 8.2977 8.2977 8.2977
angles (deg): 20.78 20.78 20.78
Fractional coordinates of all 4 atoms:
Fe 0.2450 0.2450 0.2450
Fe 0.7550 0.7550 0.7550
Tc 0.5000 0.5000 0.5000
Te 0.0000 0.0000 0.0000